Na3AgH8Pd2 PBE-GGA optimized geometry; uncorrected energy = -3.15 eV/atom; magnetic moment = 0.000 μB/f.u.; theoretical density = 4.3 Mg/m³
1.0
-1.2661 3.5041 -3.4508
2.6005 -4.1280 -1.4092
-5.8936 -3.3052 -1.1939
H Pd Na Ag
8 2 3 1
direct
0.8284 0.1716 0.6635
0.6667 0.3333 0.0550
0.1716 0.8284 0.3365
0.3433 0.1716 0.6635
0.1716 0.3433 0.3365
0.3333 0.6667 0.9450
0.6567 0.8284 0.3365
0.8284 0.6567 0.6635
0.3333 0.6667 0.1881
0.6667 0.3333 0.8119
0.6667 0.3333 0.3585
0.3333 0.6667 0.6415
0.0000 0.0000 0.0000
0.0000 0.0000 0.5000


NaAg2HPd PBE-GGA optimized geometry; E above lowest polymorph = 0.732 eV per atom; magnetic moment = 0.000 μB/f.u.; theoretical density = 6.6 Mg/m³
1.0
5.0624 0.0000 0.0000
0.0000 3.4167 0.0000
0.0000 0.0000 5.0624
Ag Pd H Na
2 1 1 1
direct
0.5000 0.0000 0.0000
0.0000 0.0000 0.5000
0.5000 0.5000 0.5000
0.0000 0.5000 0.0000
0.0000 0.0000 0.0000


| no. | N(E_F) (states/eV/atom) |
| --- | --- |
| 1 | 0.260 |
| 2 | 0.212 |